## w
The following is a PBE calculation of a geometry-optimized NbP3W structure, from Alexandria via LeMat-Bulk.

DOS(E_F): 0.906 states/eV/atom
Space-group type: Pm-3m

Cell: 4.6679 4.6679 4.6679 Å, 90.00 90.00 90.00°
With the nearest neighbours (Å) after each atom.
Atoms (fractional coordinates):
W  0.0000  0.0000  0.0000  6 P 2.33
P  0.0000  0.0000  0.5000  2 W 2.33
P  0.0000  0.5000  0.0000  2 W 2.33
P  0.5000  0.0000  0.0000  2 W 2.33
Nb  0.5000  0.5000  0.5000  12 P 3.30

=====

## x
The following is a PBE calculation of a geometry-optimized NbP3W structure, from Alexandria via LeMat-Bulk.

DOS(E_F): 2.321 states/eV/atom
Space-group type: Pm-3m

Cell: 4.6942 4.6942 4.6942 Å, 90.00 90.00 90.00°
With the nearest neighbours (Å) after each atom.
Atoms (fractional coordinates):
Nb  0.0000  0.0000  0.0000  6 P 2.35
P  0.5000  0.0000  0.0000  2 Nb 2.35
P  0.0000  0.5000  0.0000  2 Nb 2.35
P  0.0000  0.0000  0.5000  2 Nb 2.35
W  0.5000  0.5000  0.5000  12 P 3.32

=====

Stability check: which of them is least stable? x.

=====

## w
The following is a PBE calculation of a geometry-optimized NbP2W structure, from Alexandria via LeMat-Bulk.

DOS(E_F): 1.558 states/eV/atom
Space-group type: I-42d

Cell: 5.4722 5.4722 6.7923 Å, 66.24 66.24 90.00°
With the nearest neighbours (Å) after each atom.
Atoms (fractional coordinates):
P  0.3750  0.3585  0.7500  2 W 2.33, 2 Nb 2.44
P  0.8750  0.8915  0.7500  2 W 2.33, 2 Nb 2.44
P  0.1085  0.6250  0.2500  2 W 2.33, 2 Nb 2.44
P  0.6415  0.1250  0.2500  2 W 2.33, 2 Nb 2.44
Nb  0.2500  0.7500  0.5000  4 P 2.44
Nb  0.5000  0.5000  0.0000  4 P 2.44
W  0.7500  0.2500  0.5000  4 P 2.33
W  0.0000  0.0000  0.0000  4 P 2.33

=====

## x
The following is a PBE calculation of a geometry-optimized NbP2W structure, from Alexandria via LeMat-Bulk.

DOS(E_F): 0.968 states/eV/atom
Space-group type: R-3m

Cell: 3.5993 3.5993 6.0251 Å, 72.62 72.62 60.00°
With the nearest neighbours (Å) after each atom.
Atoms (fractional coordinates):
P  0.2533  0.2533  0.2402  3 W 2.48, 3 Nb 2.54
P  0.7467  0.7467  0.7598  3 W 2.48, 3 Nb 2.54
Nb  0.5000  0.5000  0.5000  6 P 2.54
W  0.0000  0.0000  0.0000  6 P 2.48

=====

Stability check: which of them is least stable? w.

=====

## w
The following is a PBE calculation of a geometry-optimized NbP2W structure, from Alexandria via LeMat-Bulk.

DOS(E_F): 1.668 states/eV/atom
Space-group type: Fm-3m

Cell: 4.3375 4.3375 4.3375 Å, 60.00 60.00 60.00°
With the nearest neighbours (Å) after each atom.
Atoms (fractional coordinates):
P  0.7500  0.7500  0.7500  4 Nb 2.66, 4 W 2.66
P  0.2500  0.2500  0.2500  4 Nb 2.66, 4 W 2.66
Nb  0.0000  0.0000  0.0000  8 P 2.66
W  0.5000  0.5000  0.5000  8 P 2.66

=====

## x
The following is a PBE calculation of a geometry-optimized NbP2W structure, from Alexandria via LeMat-Bulk.

DOS(E_F): 0.709 states/eV/atom
Space-group type: R3m

Cell: 3.2984 3.2984 6.8721 Å, 76.11 76.11 60.00°
With the nearest neighbours (Å) after each atom.
Atoms (fractional coordinates):
W  0.5021  0.5021  0.4937  6 P 2.45-2.50
P  0.2467  0.2467  0.2600  3 W 2.45, 3 Nb 2.53
P  0.0872  0.0872  0.7384  3 W 2.50, 3 Nb 2.61
Nb  0.6640  0.6640  0.0079  6 P 2.53-2.61

=====

Stability check: which of them is least stable? w.

=====

## w
The following is a PBE calculation of a geometry-optimized YNbP2 structure, from Alexandria via LeMat-Bulk.

DOS(E_F): 1.174 states/eV/atom
Space-group type: Fm-3m

Cell: 4.6470 4.6470 4.6470 Å, 60.00 60.00 60.00°
With the nearest neighbours (Å) after each atom.
Atoms (fractional coordinates):
Y  0.0000  0.0000  0.0000  8 P 2.85
Nb  0.5000  0.5000  0.5000  8 P 2.85
P  0.7500  0.7500  0.7500  4 Y 2.85, 4 Nb 2.85
P  0.2500  0.2500  0.2500  4 Nb 2.85, 4 Y 2.85

=====

## x
The following is a PBE calculation of a geometry-optimized YNbP2 structure, from Alexandria via LeMat-Bulk.

DOS(E_F): 0.380 states/eV/atom
Space-group type: R-3m

Cell: 3.7518 3.7518 6.6180 Å, 73.53 73.53 60.00°
With the nearest neighbours (Å) after each atom.
Atoms (fractional coordinates):
Nb  0.0000  0.0000  0.0000  6 P 2.58
Y  0.5000  0.5000  0.5000  6 P 2.76
P  0.7418  0.7418  0.7747  3 Nb 2.58, 3 Y 2.76
P  0.2582  0.2582  0.2253  3 Nb 2.58, 3 Y 2.76

=====

Stability check: which of them is least stable? w.

=====

## w
The following is a PBE calculation of a geometry-optimized YNbP3 structure, from Alexandria via LeMat-Bulk.

DOS(E_F): 2.166 states/eV/atom
Space-group type: Pm-3m

Cell: 5.0247 5.0247 5.0247 Å, 90.00 90.00 90.00°
With the nearest neighbours (Å) after each atom.
Atoms (fractional coordinates):
Y  0.0000  0.0000  0.0000  6 P 2.51
P  0.0000  0.5000  0.0000  2 Y 2.51
P  0.0000  0.0000  0.5000  2 Y 2.51
P  0.5000  0.0000  0.0000  2 Y 2.51
Nb  0.5000  0.5000  0.5000  12 P 3.55

=====

## x
The following is a PBE calculation of a geometry-optimized YNbP3 structure, from Alexandria via LeMat-Bulk.

DOS(E_F): 0.438 states/eV/atom
Space-group type: Pm-3m

Cell: 4.7973 4.7973 4.7973 Å, 90.00 90.00 90.00°
With the nearest neighbours (Å) after each atom.
Atoms (fractional coordinates):
P  0.0000  0.5000  0.0000  2 Nb 2.40
P  0.0000  0.0000  0.5000  2 Nb 2.40
P  0.5000  0.0000  0.0000  2 Nb 2.40
Nb  0.0000  0.0000  0.0000  6 P 2.40
Y  0.5000  0.5000  0.5000  12 P 3.39

=====

Stability check: which of them is least stable? w.

=====

## w
The following is a PBE calculation of a geometry-optimized NbZnP3 structure, from Alexandria via LeMat-Bulk.

DOS(E_F): 1.137 states/eV/atom
Space-group type: Pm-3m

Cell: 4.5071 4.5071 4.5071 Å, 90.00 90.00 90.00°
With the nearest neighbours (Å) after each atom.
Atoms (fractional coordinates):
P  0.0000  0.0000  0.5000  2 Zn 2.25
P  0.0000  0.5000  0.0000  2 Zn 2.25
P  0.5000  0.0000  0.0000  2 Zn 2.25
Zn  0.0000  0.0000  0.0000  6 P 2.25
Nb  0.5000  0.5000  0.5000  12 P 3.19

=====

## x
The following is a PBE calculation of a geometry-optimized NbZnP3 structure, from Alexandria via LeMat-Bulk.

DOS(E_F): 0.862 states/eV/atom
Space-group type: Pm-3m

Cell: 4.8244 4.8244 4.8244 Å, 90.00 90.00 90.00°
With the nearest neighbours (Å) after each atom.
Atoms (fractional coordinates):
Zn  0.5000  0.5000  0.5000  12 P 3.41
Nb  0.0000  0.0000  0.0000  6 P 2.41
P  0.0000  0.0000  0.5000  2 Nb 2.41
P  0.0000  0.5000  0.0000  2 Nb 2.41
P  0.5000  0.0000  0.0000  2 Nb 2.41

=====

Stability check: which of them is least stable? w.

=====

## w
The following is a PBE calculation of a geometry-optimized ZrNbP2 structure, from Alexandria via LeMat-Bulk.

DOS(E_F): 0.476 states/eV/atom
Space-group type: R-3m

Cell: 3.6767 3.6767 6.3332 Å, 73.13 73.13 60.00°
With the nearest neighbours (Å) after each atom.
Atoms (fractional coordinates):
Zr  0.5000  0.5000  0.5000  6 P 2.63
P  0.7470  0.7470  0.7590  3 Nb 2.56, 3 Zr 2.63
P  0.2530  0.2530  0.2410  3 Nb 2.56, 3 Zr 2.63
Nb  0.0000  0.0000  0.0000  6 P 2.56

=====

## x
The following is a PBE calculation of a geometry-optimized ZrNbP2 structure, from Alexandria via LeMat-Bulk.

DOS(E_F): 0.724 states/eV/atom
Space-group type: R3m

Cell: 3.5877 3.5877 6.6145 Å, 74.26 74.26 60.00°
With the nearest neighbours (Å) after each atom.
Atoms (fractional coordinates):
P  0.2469  0.2469  0.2593  3 Nb 2.62, 3 Zr 2.69
P  0.0872  0.0872  0.7383  3 Nb 2.50, 3 Zr 2.59
Nb  0.4948  0.4948  0.5155  6 P 2.50-2.62
Zr  0.6711  0.6711  0.9868  6 P 2.59-2.69

=====

Stability check: which of them is least stable? w.

=====

## w
The following is a PBE calculation of a geometry-optimized ZrNbP2 structure, from Alexandria via LeMat-Bulk.

DOS(E_F): 0.520 states/eV/atom
Space-group type: Fm-3m

Cell: 4.5090 4.5090 4.5090 Å, 60.00 60.00 60.00°
With the nearest neighbours (Å) after each atom.
Atoms (fractional coordinates):
Zr  0.0000  0.0000  0.0000  8 P 2.76
P  0.7500  0.7500  0.7500  4 Zr 2.76, 4 Nb 2.76
P  0.2500  0.2500  0.2500  4 Nb 2.76, 4 Zr 2.76
Nb  0.5000  0.5000  0.5000  8 P 2.76

=====

## x
The following is a PBE calculation of a geometry-optimized ZrNbP2 structure, from Alexandria via LeMat-Bulk.

DOS(E_F): 1.024 states/eV/atom
Space-group type: I-42d

Cell: 5.6817 5.6817 7.0706 Å, 66.31 66.31 90.00°
With the nearest neighbours (Å) after each atom.
Atoms (fractional coordinates):
P  0.8750  0.8935  0.7500  2 Nb 2.42, 2 Zr 2.54
P  0.1065  0.6250  0.2500  2 Nb 2.42, 2 Zr 2.54
P  0.6435  0.1250  0.2500  2 Nb 2.42, 2 Zr 2.54
P  0.3750  0.3565  0.7500  2 Nb 2.42, 2 Zr 2.54
Zr  0.5000  0.5000  0.0000  4 P 2.54
Zr  0.2500  0.7500  0.5000  4 P 2.54
Nb  0.0000  0.0000  0.0000  4 P 2.42
Nb  0.7500  0.2500  0.5000  4 P 2.42

=====

Stability check: which of them is least stable? x.